Material: CeEuN
Method: DFT, GGA-PBE
State: optimized geometry

a = 3.214 Å, b = 3.214 Å, c = 6.789 Å
α = 103.69°, β = 103.69°, γ = 90.00°
Last column: magnetic moment on the atom in μB.
Positions (direct):
N 0.694 0.694 0.388  -0.05
Ce 0.269 0.269 0.539  0.56
Eu 0.037 0.037 0.074  7.06

Output
* D(E_F): 4.28 states/eV per cell
* electronic total energy: -8.6311 eV per atom
* E_form (uncorrected): -43.7 kJ/mol of atoms
* volume: 22.0 Å³/atom